Record 1
{
  "formula": "Ca2InHg7",
  "functional": "PBE",
  "state": "relaxed",
  "magnetic_moment_mub_per_fu": 0.0,
  "total_energy_ev_per_atom": -1.1184,
  "relative_energy_mev_per_atom": 0,
  "cell": [[-3.3417, -2.8926, -2.5442], [4.9203, -1.3309, 0.1615], [-2.0752, -6.4513, 10.0605]],
  "species": ["Hg", "Hg", "Hg", "Ca", "Hg", "Hg", "Ca", "Hg", "Hg", "In"],
  "fractional_positions": [[0.3333, 0.6667, 0.4296], [0.6667, 0.3333, 0.7645], [0.0000, 0.0000, 0.2306], [0.3333, 0.6667, 0.6750], [0.0000, 0.0000, 0.5263], [0.6667, 0.3333, 0.0582], [0.6667, 0.3333, 0.3368], [0.3333, 0.6667, 0.9374], [0.3333, 0.6667, 0.1807], [0.0000, 0.0000, 0.8443]]
}

***

Record 2
{
  "formula": "Ca2InHg8",
  "functional": "PBE",
  "state": "relaxed",
  "magnetic_moment_mub_per_fu": 0.0,
  "total_energy_ev_per_atom": -1.1020,
  "relative_energy_mev_per_atom": 0,
  "cell": [[4.7454, 0.0000, 0.0000], [0.0000, 4.7454, 0.0000], [0.0000, 0.0000, 13.0719]],
  "species": ["Hg", "Hg", "Hg", "Hg", "Hg", "Hg", "Hg", "Ca", "Ca", "Hg", "In"],
  "fractional_positions": [[0.5000, 0.5000, 0.3230], [0.5000, 0.0000, 0.1461], [0.0000, 0.5000, 0.8539], [0.5000, 0.0000, 0.8539], [0.5000, 0.0000, 0.5000], [0.0000, 0.5000, 0.1461], [0.5000, 0.5000, 0.6770], [0.0000, 0.0000, 0.3204], [0.0000, 0.0000, 0.6796], [0.0000, 0.5000, 0.5000], [0.0000, 0.0000, 0.0000]]
}

***

Record 3
{
  "formula": "Ca2InHg7",
  "functional": "PBE",
  "state": "relaxed",
  "magnetic_moment_mub_per_fu": 0.0,
  "total_energy_ev_per_atom": -0.8203,
  "relative_energy_mev_per_atom": 298,
  "cell": [[7.8236, 0.0000, 0.0000], [3.9118, 6.7754, 0.0000], [3.9118, 2.2585, 6.3879]],
  "species": ["Hg", "In", "Ca", "Hg", "Hg", "Hg", "Hg", "Ca", "Hg", "Hg"],
  "fractional_positions": [[0.7499, 0.7499, 0.2501], [0.0000, 0.0000, 0.0000], [0.7500, 0.7500, 0.7500], [0.2501, 0.7499, 0.7499], [0.2501, 0.7499, 0.2501], [0.2501, 0.2501, 0.7499], [0.5000, 0.5000, 0.5000], [0.2500, 0.2500, 0.2500], [0.7499, 0.2501, 0.2501], [0.7499, 0.2501, 0.7499]]
}